# Ca2PbF2

Ca2PbF2 at its PBEsol-relaxed geometry (SCAN, Alexandria via LeMat-Bulk).

a b c (Å): 3.740 3.740 14.321
angles (deg): 90.00 90.00 90.00
Space group I4/mmm (No. 139)
Inequivalent atoms, fractional coordinates:
Ca1 0.000 0.000 0.157 x4
Pb1 0.000 0.000 0.500 x2
F1 0.000 0.500 0.250 x4

* ρ: 5.39 g/cm³
* raw formation energy: -13.95 eV per formula unit
* V: 20.029 A^3/atom